TbPrNdTm2 | PBE-GGA | optimized geometry

As for the formation energy from the elements: 0.34 eV/atom. For the total energy, the calculation gives -0.1575 hartree per atom.

Geometry as POSCAR:
```
TbPrNdTm2
1.0
3.214 -8.338 0.000
3.214 8.338 0.000
0.000 0.000 6.416
Tb Pr Nd Tm
2 2 2 4
Direct
0.229 0.771 0.750
0.771 0.229 0.250
0.343 0.657 0.250
0.657 0.343 0.750
0.157 0.843 0.250
0.843 0.157 0.750
0.247 0.247 0.000
0.247 0.247 0.500
0.753 0.753 0.000
0.753 0.753 0.500
```

---

TbPr4Nd2Tm | PBE-GGA | optimized geometry

As for the formation energy from the elements: 0.01 eV/atom. For the total energy, the calculation gives -0.1729 hartree per atom.

Geometry as POSCAR:
```
TbPr4Nd2Tm
1.0
5.174 0.000 0.000
0.000 5.204 0.000
-0.017 0.000 10.280
Tb Pr Nd Tm
1 4 2 1
Direct
0.000 0.000 0.000
0.000 0.500 0.252
0.000 0.500 0.748
0.500 0.000 0.251
0.500 0.000 0.749
0.000 0.000 0.500
0.500 0.500 0.000
0.500 0.500 0.500
```

---

TbPrNdTm | PBE-GGA | optimized geometry

The value obtained for the energy above the most stable polymorph in this dataset is 92.6 meV per atom. As for the formation energy from the elements: 0.11 eV/atom. For the total energy, the calculation gives -0.1674 hartree per atom.

Geometry as POSCAR:
```
TbPrNdTm
1.0
0.000 4.063 4.063
4.063 0.000 4.063
4.063 4.063 0.000
Tb Pr Nd Tm
1 1 1 1
Direct
0.000 0.000 0.000
0.250 0.250 0.250
0.750 0.750 0.750
0.500 0.500 0.500
```

---

TbPr3Nd2Tm6 | PBE-GGA | optimized geometry

As for the formation energy from the elements: 0.02 eV/atom. For the total energy, the calculation gives -0.1688 hartree per atom.

Geometry as POSCAR:
```
TbPr3Nd2Tm6
1.0
3.112 -5.389 0.000
3.112 5.389 0.000
-2.070 0.000 11.555
Tb Pr Nd Tm
1 3 2 6
Direct
0.000 0.000 0.000
0.167 0.833 0.500
0.500 0.500 0.500
0.833 0.167 0.500
0.334 0.666 0.000
0.666 0.334 0.000
0.083 0.416 0.248
0.250 0.250 0.752
0.416 0.083 0.248
0.584 0.917 0.752
0.750 0.750 0.248
0.917 0.584 0.752
```

---

TbPrNd2Tm2 | PBE-GGA | optimized geometry

As for the formation energy from the elements: 0.07 eV/atom. For the total energy, the calculation gives -0.1683 hartree per atom.

Geometry as POSCAR:
```
TbPrNd2Tm2
1.0
7.048 0.000 0.000
0.000 9.878 0.000
0.000 0.000 5.687
Tb Pr Nd Tm
2 2 4 4
Direct
0.000 0.000 0.000
0.500 0.500 0.500
0.000 0.500 0.500
0.500 0.000 0.000
0.248 0.167 0.500
0.252 0.667 0.000
0.748 0.333 0.000
0.752 0.833 0.500
0.250 0.333 0.000
0.250 0.833 0.500
0.750 0.167 0.500
0.750 0.667 0.000
```

---

TbPr6Nd2Tm | PBE-GGA | optimized geometry

As for the formation energy from the elements: 0.11 eV/atom. For the total energy, the calculation gives -0.1697 hartree per atom.

Geometry as POSCAR:
```
TbPr6Nd2Tm
1.0
4.657 -7.751 0.000
4.657 7.751 0.000
-1.434 0.000 9.767
Tb Pr Nd Tm
2 12 4 2
Direct
0.021 0.979 0.750
0.979 0.021 0.250
0.011 0.571 0.691
0.120 0.756 0.054
0.244 0.880 0.446
0.293 0.503 0.882
0.429 0.989 0.809
0.497 0.707 0.618
0.503 0.293 0.382
0.571 0.011 0.191
0.707 0.497 0.118
0.756 0.120 0.554
0.880 0.244 0.946
0.989 0.429 0.309
0.197 0.296 0.543
0.296 0.197 0.043
0.704 0.803 0.957
0.803 0.704 0.457
0.410 0.590 0.250
0.590 0.410 0.750
```

---

Number 1: total magnetization 0.00 μB/cell. Number 2: total magnetization 0.00 μB/cell. Number 3: total magnetization 0.00 μB/cell. Number 4: total magnetization 0.00 μB/cell. Number 5: total magnetization 0.00 μB/cell. Number 6: total magnetization 0.00 μB/cell.